PmNiSn2 | PBE-GGA | relaxed

a = 4.508 Å, b = 7.333 Å, c = 11.134 Å
α = 90.00°, β = 90.00°, γ = 90.00°
Sites, in units of the cell vectors:
1 Pm 0.750 0.697 0.638
2 Pm 0.250 0.803 0.138
3 Pm 0.250 0.303 0.362
4 Pm 0.750 0.197 0.862
5 Ni 0.750 0.981 0.360
6 Ni 0.250 0.519 0.860
7 Ni 0.250 0.019 0.640
8 Ni 0.750 0.481 0.140
9 Sn 0.750 0.149 0.561
10 Sn 0.250 0.351 0.061
11 Sn 0.250 0.851 0.439
12 Sn 0.750 0.649 0.939
13 Sn 0.750 0.623 0.342
14 Sn 0.250 0.877 0.842
15 Sn 0.250 0.377 0.658
16 Sn 0.750 0.123 0.158

Summary:
* total magnetic moment: 0.00 μB per cell
* formation energy from the elements: -220 kJ/mol of formula units